Material: Ba2LaCl7
Method: DFT, PBEsol
State: optimized geometry

Computed properties:
* size of the total moment: 0.00 μB per formula unit
* electronic total energy: -193.64 eV for the cell shown
* E_form (uncorrected): -2.471 eV per atom

The structure in CIF format:
```
data_Ba2LaCl7
_chemical_formula_sum 'Ba8 La4 Cl28'
_cell_length_a 16.192
_cell_length_b 7.999
_cell_length_c 9.953
_cell_angle_alpha 90.00
_cell_angle_beta 123.61
_cell_angle_gamma 90.00
_symmetry_space_group_name_H-M 'C 1 2/c 1'
_symmetry_Int_Tables_number 15
loop_
_symmetry_equiv_pos_as_xyz
'x,y,z'
'-x,-y,-z'
'-x,y,-z+1/2'
'x,-y,z+1/2'
'x+1/2,y+1/2,z'
'-x+1/2,-y+1/2,-z'
'-x+1/2,y+1/2,-z+1/2'
'x+1/2,-y+1/2,z+1/2'
loop_
_atom_site_label
_atom_site_fract_x
_atom_site_fract_y
_atom_site_fract_z
Ba1 0.190 0.004 0.286
La1 0.000 0.490 0.750
Cl1 0.000 0.125 0.750
Cl2 0.088 0.346 0.082
Cl3 0.132 0.248 0.471
Cl4 0.195 0.381 0.859
```



Material: Ba5La2Cl16
Method: DFT, PBEsol
State: optimized geometry

Computed properties:
* size of the total moment: 0.00 μB per formula unit
* electronic total energy: -436.82 eV for the cell shown
* E_form (uncorrected): -2.419 eV per atom

The structure in CIF format:
```
data_Ba5La2Cl16
_chemical_formula_sum 'Ba20 La8 Cl64'
_cell_length_a 9.487
_cell_length_b 16.320
_cell_length_c 18.669
_cell_angle_alpha 90.00
_cell_angle_beta 90.00
_cell_angle_gamma 90.00
_symmetry_space_group_name_H-M 'C c c e'
_symmetry_Int_Tables_number 68
loop_
_symmetry_equiv_pos_as_xyz
'x,y,z'
'-x,-y,-z'
'-x+1/2,-y,z'
'x+1/2,y,-z'
'x+1/2,-y,-z+1/2'
'-x+1/2,y,z+1/2'
'-x,y,-z+1/2'
'x,-y,z+1/2'
'x+1/2,y+1/2,z'
'-x+1/2,-y+1/2,-z'
'-x,-y+1/2,z'
'x,y+1/2,-z'
'x,-y+1/2,-z+1/2'
'-x,y+1/2,z+1/2'
'-x+1/2,y+1/2,-z+1/2'
'x+1/2,-y+1/2,z+1/2'
loop_
_atom_site_label
_atom_site_fract_x
_atom_site_fract_y
_atom_site_fract_z
Ba1 0.000 0.250 0.034
Ba2 0.000 0.250 0.750
Ba3 0.250 0.000 0.097
La1 0.250 0.000 0.354
Cl1 0.018 0.102 0.359
Cl2 0.102 0.079 0.960
Cl3 0.179 0.096 0.740
Cl4 0.194 0.206 0.592
```